First-principles (PBE) data for CaHPd3 after structural relaxation, as listed in the Alexandria database.

Properties
**Total magnetization**: 0.00 μB/f.u.
**Calculated volume**: 78.3 Å³/f.u.
**Energy above the lowest structure with this stoichiometry**: 188 meV/atom

CIF file:
```
data_CaHPd3
_symmetry_space_group_name_H-M 'C 1 2/c 1'
_symmetry_Int_Tables_number 15
_cell_length_a 12.0410
_cell_length_b 9.0979
_cell_length_c 6.1298
_cell_angle_alpha 90.00
_cell_angle_beta 111.04
_cell_angle_gamma 90.00
loop_
_symmetry_equiv_pos_as_xyz
'x,y,z'
'-x,-y,-z'
'-x,y,-z+1/2'
'x,-y,z+1/2'
'x+1/2,y+1/2,z'
'-x+1/2,-y+1/2,-z'
'-x+1/2,y+1/2,-z+1/2'
'x+1/2,-y+1/2,z+1/2'
loop_
_atom_site_label
_atom_site_type_symbol
_atom_site_fract_x
_atom_site_fract_y
_atom_site_fract_z
Ca1 Ca 0.0000 0.1685 0.2500
Ca2 Ca 0.0000 0.2745 0.7500
H1 H 0.1420 0.0853 0.6594
Pd1 Pd 0.0983 0.4535 0.1754
Pd2 Pd 0.1977 0.0197 0.9599
Pd3 Pd 0.2257 0.2613 0.7033
```